Entry from Alexandria: crystalline Er2Si4Ir3Ru at its relaxed geometry (GGA-PBE).

Unit cell a=4.1574 b=4.1574 c=9.6479 alpha=90.00 beta=90.00 gamma=90.00
Last column: nearest neighbours and their distance in Å.
Sites, in units of the cell vectors:
Ru1 0.5000 0.5000 0.5000  4 Si 2.41
Si1 0.0000 0.5000 0.3744  3 Ir 2.37-2.41, 2 Ru 2.41
Er1 0.0000 0.5000 0.7513  6 Ir 3.16-3.19, 8 Si 3.17-3.18, 2 Ru 3.19
Ir1 0.0000 0.0000 0.5000  4 Si 2.41
Si2 0.5000 0.5000 0.0000  4 Ir 2.42
Er2 0.5000 0.0000 0.2487  6 Ir 3.16-3.19, 8 Si 3.17-3.18, 2 Ru 3.19
Si3 0.0000 0.0000 0.0000  4 Ir 2.42
Ir2 0.0000 0.5000 0.1285  5 Si 2.37-2.42
Si4 0.5000 0.0000 0.6256  3 Ir 2.37-2.41, 2 Ru 2.41
Ir3 0.5000 0.0000 0.8715  5 Si 2.37-2.42

Output
The calculation puts the calculated volume at 167 Å³/cell. The value obtained for the final energy is -7.681 eV/atom.

Entry from Alexandria: crystalline Rb3CN2 at its relaxed geometry (GGA-PBE).

Unit cell a=9.8616 b=9.8616 c=9.8616 alpha=50.84 beta=50.84 gamma=50.84
Last column: nearest neighbours and their distance in Å.
Sites, in units of the cell vectors:
C1 0.0000 0.0000 0.0000  2 N 1.25
Rb1 0.1182 0.7500 0.3818  2 N 2.83
Rb2 0.2500 0.6182 0.8818  2 N 2.83
N1 0.0486 0.0486 0.0486  1 C 1.25
N2 0.5486 0.5486 0.5486  1 C 1.25
Rb3 0.6182 0.8818 0.2500  2 N 2.83
N3 0.4514 0.4514 0.4514  1 C 1.25
Rb4 0.7500 0.3818 0.1182  2 N 2.83
C2 0.5000 0.5000 0.5000  2 N 1.25
Rb5 0.3818 0.1182 0.7500  2 N 2.83
N4 0.9514 0.9514 0.9514  1 C 1.25
Rb6 0.8818 0.2500 0.6182  2 N 2.83

Output
The calculation puts the calculated volume at 532 Å³/cell. The value obtained for the final energy is -5.072 eV/atom.

Entry from Alexandria: crystalline BiBrCl2 at its relaxed geometry (GGA-PBE).

Unit cell a=7.1868 b=7.1868 c=7.9314 alpha=108.86 beta=108.86 gamma=113.72
Last column: nearest neighbours and their distance in Å.
Sites, in units of the cell vectors:
Cl1 0.0345 0.6613 0.6993  2 Bi 2.71-2.79
Br1 0.8998 0.5657 0.1456  2 Bi 2.88
Cl2 0.2568 0.2659 0.1492  2 Bi 2.74-2.76
Bi1 0.4398 0.1240 0.9196  4 Cl 2.71-2.79, 2 Br 2.88
Cl3 0.6613 0.0345 0.1993  2 Bi 2.71-2.79
Br2 0.5657 0.8998 0.6456  2 Bi 2.88
Cl4 0.2659 0.2568 0.6492  2 Bi 2.74-2.76
Bi2 0.1240 0.4398 0.4196  4 Cl 2.71-2.79, 2 Br 2.88

Output
The calculation puts the calculated volume at 302 Å³/cell. The excess energy over the best structure of this formula in the dataset is 0.00 eV/f.u.

Entry from Alexandria: crystalline SrTc2P at its relaxed geometry (GGA-PBE).

Unit cell a=3.0527 b=3.0527 c=7.7023 alpha=90.00 beta=90.00 gamma=90.00
Last column: nearest neighbours and their distance in Å.
Sites, in units of the cell vectors:
Tc1 0.5000 0.5000 0.2720  4 P 2.49, 4 Tc 2.72
P1 0.0000 0.0000 0.4335  4 Tc 2.49
Sr1 0.5000 0.5000 0.7369  4 Sr 3.05, 4 P 3.18, 4 Tc 3.28
Tc2 0.0000 0.0000 0.0576  4 Tc 2.72, 1 P 2.89

Output
The calculation puts the calculated volume at 72 Å³/cell. The excess energy over the best structure of this formula in the dataset is 1.30 eV/f.u.

Entry from Alexandria: crystalline AgRu2Au at its relaxed geometry (GGA-PBE).

Unit cell a=3.8157 b=2.8094 c=6.5885 alpha=64.74 beta=90.00 gamma=90.00
Last column: nearest neighbours and their distance in Å.
Sites, in units of the cell vectors:
Au1 0.5000 0.7453 0.7542  5 Ru 2.75-2.89, 2 Au 2.81, 4 Ag 2.82-2.83
Ru1 0.5000 0.2833 0.2166  6 Ru 2.61-2.81, 1 Au 2.75, 4 Ag 2.90
Ag1 0.0000 0.5042 0.4963  5 Ru 2.76-2.90, 2 Ag 2.81, 4 Au 2.82-2.83
Ru2 0.0000 0.9672 0.0329  6 Ru 2.61-2.81, 1 Ag 2.76, 4 Au 2.89

Output
The calculation puts the calculated volume at 64 Å³/cell. The excess energy over the best structure of this formula in the dataset is 0.40 eV/f.u.

Entry from Alexandria: crystalline PmEr4Pd4 at its relaxed geometry (GGA-PBE).

Unit cell a=5.7211 b=9.0292 c=9.0292 alpha=90.00 beta=90.00 gamma=90.00
Last column: nearest neighbours and their distance in Å.
Sites, in units of the cell vectors:
Er1 0.4132 0.6721 0.0963  5 Pd 2.81-2.91
Er2 0.9132 0.4037 0.1721  5 Pd 2.81-2.91
Pd1 0.5888 0.2113 0.6285  5 Er 2.81-2.91, 1 Pm 2.90, 1 Pd 2.95
Pm1 0.5000 0.5000 0.5000  4 Pd 2.90
Er3 0.5868 0.0963 0.3279  5 Pd 2.81-2.91
Er4 0.0868 0.8279 0.4037  5 Pd 2.81-2.91
Pd2 0.9112 0.2887 0.8715  5 Er 2.81-2.91, 1 Pm 2.90, 1 Pd 2.95
Pd3 0.0888 0.8715 0.7113  5 Er 2.81-2.91, 1 Pm 2.90, 1 Pd 2.95
Er5 0.9132 0.5963 0.8279  5 Pd 2.81-2.91
Er6 0.4132 0.3279 0.9037  5 Pd 2.81-2.91
Pd4 0.4112 0.6285 0.7887  5 Er 2.81-2.91, 1 Pm 2.90, 1 Pd 2.95
Pd5 0.5888 0.7887 0.3715  5 Er 2.81-2.91, 1 Pm 2.90, 1 Pd 2.95
Pd6 0.0888 0.1285 0.2887  5 Er 2.81-2.91, 1 Pm 2.90, 1 Pd 2.95
Er7 0.0868 0.1721 0.5963  5 Pd 2.81-2.91
Er8 0.5868 0.9037 0.6721  5 Pd 2.81-2.91
Pm2 0.0000 0.0000 0.0000  4 Pd 2.90
Pd7 0.4112 0.3715 0.2113  5 Er 2.81-2.91, 1 Pm 2.90, 1 Pd 2.95
Pd8 0.9112 0.7113 0.1285  5 Er 2.81-2.91, 1 Pm 2.90, 1 Pd 2.95

Output
The calculation puts the calculated volume at 466 Å³/cell. The value obtained for the final energy is -5.544 eV/atom.

Entry from Alexandria: crystalline NbCrCd2 at its relaxed geometry (GGA-PBE).

Unit cell a=7.5983 b=7.5983 c=5.9928 alpha=50.66 beta=50.66 gamma=90.00
Last column: nearest neighbours and their distance in Å.
Sites, in units of the cell vectors:
Cr1 0.2500 0.7500 0.5000  4 Cd 2.64, 2 Nb 2.65
Cd1 0.3750 0.3994 0.7500  2 Cr 2.64, 2 Cd 2.68, 2 Nb 2.90
Cd2 0.6006 0.1250 0.2500  2 Cr 2.64, 2 Cd 2.68, 2 Nb 2.90
Cd3 0.1494 0.6250 0.2500  2 Cr 2.64, 2 Cd 2.68, 2 Nb 2.90
Cr2 0.5000 0.5000 0.0000  4 Cd 2.64, 2 Nb 2.65
Nb1 0.0000 0.0000 0.0000  2 Cr 2.65, 4 Cd 2.90
Nb2 0.7500 0.2500 0.5000  2 Cr 2.65, 4 Cd 2.90
Cd4 0.8750 0.8506 0.7500  2 Cr 2.64, 2 Cd 2.68, 2 Nb 2.90

Output
The calculation puts the calculated volume at 153 Å³/cell. The excess energy over the best structure of this formula in the dataset is 1.80 eV/f.u.

Entry from Alexandria: crystalline AcAsHPt at its relaxed geometry (GGA-PBE).

Unit cell a=4.2852 b=4.2852 c=10.2487 alpha=90.00 beta=90.00 gamma=120.00
Last column: nearest neighbours and their distance in Å.
Sites, in units of the cell vectors:
Ac1 0.6667 0.3333 0.7397  3 H 2.62
Ac2 0.3333 0.6667 0.2397  3 H 2.62
As1 0.3333 0.6667 0.9296  3 Pt 2.54
Pt1 0.0000 0.0000 0.9863  1 H 1.75
H1 0.0000 0.0000 0.1567  1 Pt 1.75
Pt2 0.0000 0.0000 0.4863  1 H 1.75
H2 0.0000 0.0000 0.6567  1 Pt 1.75
As2 0.6667 0.3333 0.4296  3 Pt 2.54

Output
The calculation puts the calculated volume at 163 Å³/cell. The value obtained for the final energy is -5.362 eV/atom.

- What is the calculated volume in the eighth record?
  163 Å³/cell

- What is the formula in the fifth record?
  AgRu2Au